{
  "formula": "Co2GeF8",
  "functional": "PBE with a Hubbard U",
  "state": "optimized geometry",
  "sg": "No. 12",
  "rho_g_cm3": 4.3,
  "total_energy_ev_per_atom": -4.9081,
  "cell": [[-3.695, -1.513, 1.678], [2.812, -1.524, 4.680], [-0.140, 4.424, 3.542]],
  "species": ["Ge", "F", "F", "F", "F", "F", "F", "F", "F", "Co", "Co"],
  "fractional_positions": [[0.000, 0.000, 0.000], [0.778, 0.098, 0.712], [0.222, 0.288, 0.902], [0.262, 0.400, 0.400], [0.741, 0.157, 0.157], [0.778, 0.712, 0.098], [0.259, 0.843, 0.843], [0.738, 0.600, 0.600], [0.222, 0.902, 0.288], [0.250, 0.622, 0.622], [0.750, 0.378, 0.378]]
}